A relaxed structure of Ca2TiSiBr. Source: Alexandria via LeMat-Bulk, functional PBE-GGA.

## Properties
For the formation energy from raw total energies, the calculation gives 2.60 eV/f.u. The value obtained for the final energy is -16.39 eV per formula unit. As for the total magnetization: 2.48 μB per formula unit.

a b c (Å): 5.968 5.968 4.703
angles (deg): 90.00 90.00 90.00
Fractional positions:
Si 0.500 0.500 0.500
Ti 0.000 0.000 0.000
Br 0.000 0.000 0.500
Ca 0.000 0.500 0.000
Ca 0.500 0.000 0.000